No. 1
GGA-PBE ThZnCdNi, relaxed; energy of formation = -0.202 eV per atom; calculated density = 9.73 g/cm3; space group = F-43m; E_tot = -4.049 eV per atom
1.0
0.000 3.419 3.419
3.419 0.000 3.419
3.419 3.419 0.000
Th Zn Cd Ni
1 1 1 1
direct
0.000 0.000 0.000
0.750 0.750 0.750
0.500 0.500 0.500
0.250 0.250 0.250

***

No. 2
GGA-PBE Ti3CdNi, relaxed; ΔE to the lowest computed polymorph = 0 meV/atom; energy of formation = 0.270 eV per atom; calculated density = 5.47 g/cm3; space group = Pm-3m; E_tot = -5.807 eV per atom
1.0
4.572 0.000 0.000
0.000 4.572 0.000
0.000 0.000 4.572
Ti Cd Ni
3 1 1
direct
0.000 0.000 0.500
0.000 0.500 0.000
0.500 0.000 0.000
0.500 0.500 0.500
0.000 0.000 0.000

***

No. 3
GGA-PBE Ti2CdNi, relaxed; energy of formation = -0.139 eV per atom; calculated density = 6.80 g/cm3; space group = P4/mmm; E_tot = -5.761 eV per atom
1.0
2.847 0.000 0.000
0.000 2.847 0.000
0.000 0.000 8.036
Ti Cd Ni
2 1 1
direct
0.000 0.000 0.206
0.000 0.000 0.794
0.500 0.500 0.500
0.500 0.500 0.000

***

No. 4
GGA-PBE TiCdNi, relaxed; ΔE to the lowest computed polymorph = 172 meV/atom; energy of formation = -0.066 eV per atom; calculated density = 7.00 g/cm3; space group = C2/m; E_tot = -4.930 eV per atom
1.0
2.816 -2.817 0.000
2.816 2.817 0.000
-0.041 0.000 6.551
Ti Cd Ni
2 2 2
direct
0.250 0.750 0.000
0.750 0.250 0.000
0.248 0.248 0.636
0.752 0.752 0.364
0.251 0.251 0.223
0.749 0.749 0.777

***

No. 5
GGA-PBE Ti2CdNi, relaxed; energy of formation = 0.391 eV per atom; calculated density = 6.48 g/cm3; space group = I-42d; E_tot = -5.230 eV per atom
1.0
-1.870 1.870 9.780
1.870 -1.870 9.780
1.870 1.870 -9.780
Ti Cd Ni
4 2 2
direct
0.114 0.625 0.989
0.375 0.364 0.489
0.636 0.125 0.011
0.875 0.886 0.511
0.250 0.750 0.500
0.500 0.500 0.000
0.000 0.000 0.000
0.750 0.250 0.500

***

No. 6
GGA-PBE TiCdNi2, relaxed; energy of formation = -0.257 eV per atom; calculated density = 7.90 g/cm3; space group = P4/mmm; E_tot = -5.350 eV per atom
1.0
3.041 0.000 0.000
0.000 3.041 0.000
0.000 0.000 6.310
Ti Cd Ni
1 1 2
direct
0.000 0.000 0.000
0.000 0.000 0.500
0.500 0.500 0.211
0.500 0.500 0.789

***

No. 7
GGA-PBE TiCdNi, relaxed; ΔE to the lowest computed polymorph = 0 meV/atom; energy of formation = -0.238 eV per atom; calculated density = 7.32 g/cm3; space group = Cmcm; E_tot = -5.102 eV per atom
1.0
1.538 -8.294 0.000
1.538 8.294 0.000
0.000 0.000 3.895
Ti Cd Ni
2 2 2
direct
0.080 0.920 0.750
0.920 0.080 0.250
0.299 0.701 0.750
0.701 0.299 0.250
0.456 0.544 0.750
0.544 0.456 0.250

***

No. 8
GGA-PBE TiCdNi2, relaxed; energy of formation = 0.216 eV per atom; calculated density = 7.31 g/cm3; space group = I-42d; E_tot = -4.877 eV per atom
1.0
-3.389 3.389 2.746
3.389 -3.389 2.746
3.389 3.389 -2.746
Ti Cd Ni
2 2 4
direct
0.000 0.000 0.000
0.750 0.250 0.500
0.250 0.750 0.500
0.500 0.500 0.000
0.092 0.125 0.467
0.375 0.908 0.033
0.658 0.625 0.533
0.875 0.342 0.967

***

No. 9
GGA-PBE TiCdNi3, relaxed; ΔE to the lowest computed polymorph = 0 meV/atom; energy of formation = 0.720 eV per atom; calculated density = 6.64 g/cm3; space group = Pm-3m; E_tot = -4.511 eV per atom
1.0
4.381 0.000 0.000
0.000 4.381 0.000
0.000 0.000 4.381
Ti Cd Ni
1 1 3
direct
0.000 0.000 0.000
0.500 0.500 0.500
0.000 0.000 0.500
0.000 0.500 0.000
0.500 0.000 0.000

***

No. 10
GGA-PBE Ti3CdNi, relaxed; ΔE to the lowest computed polymorph = 1311 meV/atom; energy of formation = 1.581 eV per atom; calculated density = 4.31 g/cm3; space group = Pm-3m; E_tot = -4.496 eV per atom
1.0
4.950 0.000 0.000
0.000 4.950 0.000
0.000 0.000 4.950
Ti Cd Ni
3 1 1
direct
0.000 0.000 0.500
0.000 0.500 0.000
0.500 0.000 0.000
0.000 0.000 0.000
0.500 0.500 0.500

***

No. 11
GGA-PBE Ti2CdNi, relaxed; energy of formation = 0.223 eV per atom; calculated density = 6.40 g/cm3; space group = R-3m; E_tot = -5.399 eV per atom
1.0
1.412 0.815 10.031
-1.412 0.815 10.031
0.000 -1.630 10.031
Ti Cd Ni
2 1 1
direct
0.099 0.099 0.099
0.901 0.901 0.901
0.000 0.000 0.000
0.500 0.500 0.500

***

No. 12
GGA-PBE Ti2CdNi2, relaxed; energy of formation = -0.112 eV per atom; calculated density = 6.60 g/cm3; space group = I4/mmm; E_tot = -5.765 eV per atom
1.0
-2.083 2.083 4.723
2.083 -2.083 4.723
2.083 2.083 -4.723
Ti Cd Ni
2 1 2
direct
0.250 0.750 0.500
0.750 0.250 0.500
0.000 0.000 0.000
0.382 0.382 0.000
0.618 0.618 0.000

***

No. 13
GGA-PBE Ti2CdNi, relaxed; energy of formation = 0.153 eV per atom; calculated density = 5.86 g/cm3; space group = R3m; E_tot = -5.468 eV per atom
1.0
1.813 1.047 6.639
-1.813 1.047 6.639
0.000 -2.094 6.639
Ti Cd Ni
2 1 1
direct
0.000 0.000 0.000
0.217 0.217 0.217
0.443 0.443 0.443
0.603 0.603 0.603

***

No. 14
GGA-PBE Tl2CdNi, relaxed; ΔE to the lowest computed polymorph = 101 meV/atom; energy of formation = 0.248 eV per atom; calculated density = 10.47 g/cm3; space group = R-3m; E_tot = -2.609 eV per atom
1.0
1.751 1.011 8.654
-1.751 1.011 8.654
0.000 -2.022 8.654
Tl Cd Ni
2 1 1
direct
0.236 0.236 0.236
0.764 0.764 0.764
0.000 0.000 0.000
0.500 0.500 0.500

***

No. 15
GGA-PBE TlCdNi3, relaxed; ΔE to the lowest computed polymorph = 0 meV/atom; energy of formation = 1.117 eV per atom; calculated density = 7.87 g/cm3; space group = Pm-3m; E_tot = -3.008 eV per atom
1.0
4.703 0.000 0.000
0.000 4.703 0.000
0.000 0.000 4.703
Tl Cd Ni
1 1 3
direct
0.000 0.000 0.000
0.500 0.500 0.500
0.000 0.500 0.500
0.500 0.000 0.500
0.500 0.500 0.000

***

No. 16
GGA-PBE Tl2CdNi, relaxed; ΔE to the lowest computed polymorph = 253 meV/atom; energy of formation = 0.401 eV per atom; calculated density = 10.45 g/cm3; space group = F-43m; E_tot = -2.456 eV per atom
1.0
0.000 3.584 3.584
3.584 0.000 3.584
3.584 3.584 0.000
Tl Cd Ni
2 1 1
direct
0.000 0.000 0.000
0.250 0.250 0.250
0.500 0.500 0.500
0.750 0.750 0.750

***

No. 17
GGA-PBE TlCdNi, relaxed; ΔE to the lowest computed polymorph = 216 meV/atom; energy of formation = 0.303 eV per atom; calculated density = 10.59 g/cm3; space group = P3m1; E_tot = -2.718 eV per atom
1.0
4.599 0.000 0.000
-2.300 3.983 0.000
0.000 0.000 3.215
Tl Cd Ni
1 1 1
direct
0.000 0.000 0.000
0.667 0.333 0.500
0.333 0.667 0.993

***

No. 18
GGA-PBE TlCd4Ni, relaxed; energy of formation = 0.328 eV per atom; calculated density = 8.78 g/cm3; space group = F-43m; E_tot = -1.640 eV per atom
1.0
0.000 4.069 4.069
4.069 0.000 4.069
4.069 4.069 0.000
Tl Cd Ni
1 4 1
direct
0.000 0.000 0.000
0.128 0.624 0.624
0.624 0.128 0.624
0.624 0.624 0.128
0.624 0.624 0.624
0.250 0.250 0.250

***

No. 19
GGA-PBE Tl2CdNi, relaxed; ΔE to the lowest computed polymorph = 52 meV/atom; energy of formation = 0.200 eV per atom; calculated density = 9.69 g/cm3; space group = Pm; E_tot = -2.657 eV per atom
1.0
5.201 0.000 0.000
0.000 3.347 0.000
-2.492 0.000 5.711
Tl Cd Ni
2 1 1
direct
0.000 0.000 0.000
0.317 0.500 0.632
0.635 0.000 0.279
0.817 0.500 0.632

***

No. 20
GGA-PBE TlCdNi4, relaxed; energy of formation = 0.155 eV per atom; calculated density = 10.63 g/cm3; space group = F-43m; E_tot = -4.246 eV per atom
1.0
0.000 3.506 3.506
3.506 0.000 3.506
3.506 3.506 0.000
Tl Cd Ni
1 1 4
direct
0.000 0.000 0.000
0.250 0.250 0.250
0.126 0.625 0.625
0.625 0.126 0.625
0.625 0.625 0.126
0.625 0.625 0.625